The following is a PBE-GGA calculation of a relaxed Pm5YHo5 crystal, from the Alexandria database.

Cell and atoms, written as POSCAR:
```
Pm5YHo5
1.0
6.104 0.000 0.000
-3.052 5.286 0.000
0.000 0.000 11.721
Pm Y Ho
5 1 5
Direct
0.000 0.000 0.000 Pm
0.333 0.667 0.316 Pm
0.333 0.667 0.684 Pm
0.667 0.333 0.154 Pm
0.667 0.333 0.846 Pm
0.333 0.667 0.000 Y
0.000 0.000 0.266 Ho
0.000 0.000 0.734 Ho
0.334 0.167 0.500 Ho
0.833 0.167 0.500 Ho
0.833 0.666 0.500 Ho
```

formation energy from the elements: 0.294 eV/atom
magnetization: 0.002 μB per formula unit
energy: -4.534 eV per atom